Model one:
Crystalline KTlCr2 at its relaxed geometry, computed with PBE.

Values from the calculation:
SG: C2/m, No. 12
Crystal system: monoclinic
ρ in g/cm3: 5.03

Lattice parameters (Å, degrees): 5.075 5.075 7.255 83.37 83.37 38.19
Last column: magnetic moment on the atom in μB.
Atoms (fractional coordinates):
Cr 0.982 0.982 0.088  3.91
Cr 0.518 0.518 0.412  3.91
Tl 0.250 0.250 0.250  -0.07
K 0.750 0.750 0.750  0.03

Model two:
Crystalline KTlCr2 at its relaxed geometry, computed with PBE.

Values from the calculation:
SG: Imm2, No. 44
Crystal system: orthorhombic
ρ in g/cm3: 5.77

Lattice parameters (Å, degrees): 6.384 6.384 6.384 151.02 126.85 61.68
Last column: magnetic moment on the atom in μB.
Atoms (fractional coordinates):
Tl 0.213 0.713 0.500  0.02
Cr 0.974 0.974 0.000  3.49
Cr 0.805 0.305 0.500  -3.45
K 0.508 0.508 0.000  0.02

Relative energies with respect to the most stable structure, expressed in kJ/mol of atoms: model one 11.1; model two 0.0.

Model one:
Crystalline KVCr3 at its relaxed geometry, computed with PBE.

Values from the calculation:
SG: Pm-3m, No. 221
Crystal system: cubic
ρ in g/cm3: 2.82

Lattice parameters (Å, degrees): 5.253 5.253 5.253 90.00 90.00 90.00
Last column: magnetic moment on the atom in μB.
Atoms (fractional coordinates):
V 0.500 0.500 0.500  2.84
Cr 0.000 0.000 0.500  4.15
Cr 0.500 0.000 0.000  4.15
Cr 0.000 0.500 0.000  4.15
K 0.000 0.000 0.000  0.22

Model two:
Crystalline KVCr3 at its relaxed geometry, computed with PBE.

Values from the calculation:
SG: Pm-3m, No. 221
Crystal system: cubic
ρ in g/cm3: 3.69

Lattice parameters (Å, degrees): 4.802 4.802 4.802 90.00 90.00 90.00
Last column: magnetic moment on the atom in μB.
Atoms (fractional coordinates):
Cr 0.000 0.500 0.000  3.28
Cr 0.500 0.000 0.000  3.28
Cr 0.000 0.000 0.500  3.28
V 0.000 0.000 0.000  -1.58
K 0.500 0.500 0.500  0.04

Relative energies with respect to the most stable structure, expressed in kJ/mol of atoms: model one 137.5; model two 0.0.

Model one:
Crystalline KV3Cr at its relaxed geometry, computed with PBE.

Values from the calculation:
SG: Pm-3m, No. 221
Crystal system: cubic
ρ in g/cm3: 5.08

Lattice parameters (Å, degrees): 4.303 4.303 4.303 90.00 90.00 90.00
Last column: magnetic moment on the atom in μB.
Atoms (fractional coordinates):
V 0.500 0.000 0.000  -0.10
V 0.000 0.000 0.500  -0.10
V 0.000 0.500 0.000  -0.10
K 0.000 0.000 0.000  0.03
Cr 0.500 0.500 0.500  3.27

Model two:
Crystalline KV3Cr at its relaxed geometry, computed with PBE.

Values from the calculation:
SG: Pm-3m, No. 221
Crystal system: cubic
ρ in g/cm3: 3.97

Lattice parameters (Å, degrees): 4.673 4.673 4.673 90.00 90.00 90.00
Last column: magnetic moment on the atom in μB.
Atoms (fractional coordinates):
V 0.000 0.000 0.500  1.67
V 0.500 0.000 0.000  1.67
V 0.000 0.500 0.000  1.67
K 0.500 0.500 0.500  0.04
Cr 0.000 0.000 0.000  -1.35

Relative energies with respect to the most stable structure, expressed in kJ/mol of atoms: model one 122.6; model two 0.0.